(1)
# VCu3P4O16

Crystalline VCu3P4O16 at its relaxed geometry (PBE+U, Alexandria).

Cell lengths 6.0048, 5.0814, 10.0684 Å; angles 86.42, 90.00, 90.00 degrees
With the nearest neighbours (Å) after each atom.
Sites, in units of the cell vectors:
Cu 0.0000 0.3653 0.1888  4 O 1.86-1.89
Cu 0.5000 0.6591 0.8105  4 O 1.85-1.93
O 0.0000 0.2896 0.8557  1 P 1.52
P 0.0000 0.9129 0.3941  4 O 1.54-1.58
P 0.5000 0.0658 0.5978  4 O 1.53-1.58
P 0.0000 0.5765 0.8901  4 O 1.52-1.59
O 0.3019 0.2881 0.1771  1 P 1.55
P 0.5000 0.4493 0.1153  4 O 1.54-1.55
O 0.5000 0.4353 0.9621  1 P 1.55
O 0.7990 0.7709 0.3354  1 P 1.54
O 0.7117 0.1938 0.6620  1 P 1.58
O 0.0000 0.8598 0.5499  1 P 1.58
O 0.2010 0.7709 0.3354  1 P 1.54
O 0.5000 0.7438 0.1441  1 P 1.54
O 0.2883 0.1938 0.6620  1 P 1.58
Cu 0.5000 0.8752 0.3140  4 O 1.88
O 0.0000 0.2146 0.3648  1 P 1.54
O 0.8105 0.7536 0.8197  1 P 1.59
O 0.6981 0.2881 0.1771  1 P 1.55
O 0.1895 0.7536 0.8197  1 P 1.59
V 0.0000 0.0474 0.7063  4 O 1.89-2.00
O 0.0000 0.6063 0.0400  1 P 1.53
O 0.5000 0.7663 0.6310  1 P 1.54
O 0.5000 0.1199 0.4469  1 P 1.53

Values from the calculation:
The total energy comes out at -0.2444 Ha/atom. The symmetry is Pm.

---

(2)
# VCuPO2

Crystalline VCuPO2 at its relaxed geometry (PBE+U, Alexandria).

Cell lengths 3.7043, 3.7043, 4.7405 Å; angles 90.00, 90.00, 90.00 degrees
With the nearest neighbours (Å) after each atom.
Sites, in units of the cell vectors:
Cu 0.0000 0.0000 0.0000  4 O 1.85
V 0.5000 0.5000 0.5000  4 P 2.62
O 0.5000 0.0000 0.0000  2 Cu 1.85
O 0.0000 0.5000 0.0000  2 Cu 1.85
P 0.0000 0.0000 0.5000  2 Cu 2.37, 4 V 2.62

Values from the calculation:
Its relative energy among the computed polymorphs is 818 meV/atom. The symmetry is P4/mmm.

---

(3)
# VCuP2O

Crystalline VCuP2O at its relaxed geometry (PBE+U, Alexandria).

Cell lengths 4.7082, 4.7082, 3.5679 Å; angles 90.00, 90.00, 90.00 degrees
With the nearest neighbours (Å) after each atom.
Sites, in units of the cell vectors:
P 0.0000 0.5000 0.0000  2 V 2.35
P 0.5000 0.0000 0.0000  2 V 2.35
V 0.0000 0.0000 0.0000  2 O 1.78
Cu 0.5000 0.5000 0.5000  8 P 2.95
O 0.0000 0.0000 0.5000  2 V 1.78

Values from the calculation:
Its relative energy among the computed polymorphs is 0 meV/atom. The symmetry is P4/mmm.